TaAg2Hg: relaxed, PBEsol.

Output
Density of states at the Fermi level: 2.11 states/eV/f.u.
Calculated density: 14.17 g cm⁻³
Raw total energy: -18.1 eV/cell
Space group: F-43m (216)
Energy of formation: 0.40 eV/atom

Geometry as extended XYZ:
```
4
Lattice="0.000 3.271 3.271 3.271 0.000 3.271 3.271 3.271 0.000" Properties=species:S:1:pos:R:3 pbc="T T T"
Ta 0.000 0.000 0.000
Ag 3.271 3.271 3.271
Ag 4.906 4.906 4.906
Hg 1.635 1.635 1.635
```